1.
## Li3Ag2Sn3 (PBE-GGA)

Data for a geometry-optimized Li3Ag2Sn3 structure.

## Properties
- Space group: No. 12
- E: -25.6 eV per formula unit
- V: 19.8 Å³/atom
- ΔE_f: -26 kJ/mol of atoms

```
Li3Ag2Sn3
1.0
4.370 0.000 0.000
0.000 4.372 -0.142
-2.185 -1.852 8.359
Sn Li Ag
3 3 2
Direct
0.500 0.500 0.000 Sn
0.366 0.867 0.732 Sn
0.634 0.133 0.268 Sn
0.000 0.000 0.000 Li
0.133 0.634 0.267 Li
0.867 0.366 0.733 Li
0.753 0.751 0.505 Ag
0.247 0.249 0.495 Ag
```

***

2.
## BaURhO6 (PBE-GGA)

Data for a geometry-optimized BaURhO6 structure.

## Properties
- Space group: No. 163
- E: -71.1 eV per formula unit
- Raw formation energy: -2003 kJ/mol of formula units
- V: 16.9 Å³/atom

```
BaURhO6
1.0
5.460 0.000 0.000
-2.730 4.729 0.000
0.000 0.000 11.774
O U Ba Rh
12 2 2 2
Direct
0.992 0.367 0.154 O
0.367 0.375 0.846 O
0.625 0.633 0.654 O
0.992 0.625 0.346 O
0.008 0.375 0.654 O
0.633 0.008 0.346 O
0.625 0.992 0.846 O
0.375 0.367 0.346 O
0.008 0.633 0.846 O
0.633 0.625 0.154 O
0.375 0.008 0.154 O
0.367 0.992 0.654 O
0.667 0.333 0.750 U
0.333 0.667 0.250 U
0.000 0.000 0.000 Ba
0.000 0.000 0.500 Ba
0.667 0.333 0.250 Rh
0.333 0.667 0.750 Rh
```

***

3.
## TbSm2Al2Ga2 (PBE-GGA)

Data for a geometry-optimized TbSm2Al2Ga2 structure.

## Properties
- Space group: No. 166
- E: -30.5 eV per formula unit
- V: 25.0 Å³/atom
- ΔE_f: -40 kJ/mol of atoms

```
TbSm2Al2Ga2
1.0
-4.066 0.437 1.228
-2.643 -3.351 -0.135
0.612 -3.637 10.744
Al Ga Sm Tb
2 2 2 1
Direct
0.608 0.608 0.176 Al
0.392 0.392 0.824 Al
0.267 0.267 0.199 Ga
0.733 0.733 0.801 Ga
0.876 0.876 0.371 Sm
0.124 0.124 0.629 Sm
0.000 0.000 0.000 Tb
```

***

4.
## PuAlIn (PBE-GGA)

Data for a geometry-optimized PuAlIn structure.

## Properties
- Space group: No. 187
- E: -21.4 eV per formula unit
- V: 23.3 Å³/atom
- ΔE_f: -19 kJ/mol of atoms

```
PuAlIn
1.0
3.423 0.000 0.000
0.000 4.851 0.000
0.000 -2.426 4.201
Al In Pu
1 1 1
Direct
0.167 0.667 0.333 Al
0.167 0.000 0.000 In
0.667 0.333 0.667 Pu
```

***

5.
## MgMn2Cu (PBE-GGA)

Data for a geometry-optimized MgMn2Cu structure.

## Properties
- Space group: No. 122
- E: -21.8 eV per formula unit
- V: 16.5 Å³/atom
- ΔE_f: 53 kJ/mol of atoms

```
MgMn2Cu
1.0
7.091 0.000 0.000
0.000 7.091 0.000
3.546 3.546 2.621
Mg Mn Cu
2 4 2
Direct
0.250 0.750 0.500 Mg
0.500 0.500 0.000 Mg
0.665 0.125 0.250 Mn
0.085 0.625 0.250 Mn
0.375 0.335 0.750 Mn
0.875 0.915 0.750 Mn
0.000 0.000 0.000 Cu
0.750 0.250 0.500 Cu
```

***

6.
## Ca3W (PBE-GGA)

Data for a geometry-optimized Ca3W structure.

## Properties
- Space group: No. 194
- E: -15.4 eV per formula unit
- V: 29.5 Å³/atom
- ΔE_f: 85 kJ/mol of atoms

```
Ca3W
1.0
-5.220 1.487 -4.567
-1.331 -3.937 5.749
-1.172 4.481 2.798
W Ca
2 6
Direct
0.333 0.667 0.750 W
0.667 0.333 0.250 W
0.642 0.821 0.250 Ca
0.358 0.179 0.750 Ca
0.179 0.821 0.250 Ca
0.821 0.642 0.750 Ca
0.179 0.358 0.250 Ca
0.821 0.179 0.750 Ca
```

***

7.
## Sc2Br (PBE-GGA)

Data for a geometry-optimized Sc2Br structure.

## Properties
- Space group: No. 8
- E: -15.7 eV per formula unit
- Raw formation energy: -129 kJ/mol of formula units
- V: 22.4 Å³/atom

```
Sc2Br
1.0
1.684 5.601 -0.004
-1.684 5.601 -0.004
0.000 1.264 7.134
Sc Br
4 2
Direct
0.653 0.653 0.693 Sc
0.604 0.604 0.252 Sc
0.312 0.312 0.959 Sc
0.935 0.935 0.596 Sc
0.308 0.308 0.353 Br
0.021 0.021 0.979 Br
```

***

8.
## Nd2Sm2Y (PBE-GGA)

Data for a geometry-optimized Nd2Sm2Y structure.

## Properties
- Space group: No. 15
- E: -25.1 eV per formula unit
- V: 34.4 Å³/atom
- ΔE_f: 6 kJ/mol of atoms

```
Nd2Sm2Y
1.0
-1.352 -5.671 -2.120
8.084 -5.847 1.409
2.636 -6.138 5.661
Nd Sm Y
4 4 2
Direct
0.354 0.578 0.815 Nd
0.253 0.078 0.315 Nd
0.646 0.422 0.185 Nd
0.747 0.922 0.685 Nd
0.982 0.645 0.547 Sm
0.018 0.355 0.453 Sm
0.827 0.145 0.047 Sm
0.173 0.855 0.953 Sm
0.429 0.250 0.750 Y
0.571 0.750 0.250 Y
```